Entry 1:
Below is a geometry-optimized Na2Sr6Ca structure, with properties calculated at the PBE-GGA level.

Cell lengths 10.939, 10.939, 13.658 Å; angles 49.98, 49.98, 52.09 degrees
Atoms (fractional coordinates):
Sr: 0.548 0.639 0.516
Sr: 0.361 0.452 0.984
Sr: 0.905 0.358 0.704
Sr: 0.995 0.244 0.401
Sr: 0.452 0.361 0.484
Sr: 0.005 0.756 0.599
Sr: 0.244 0.995 0.901
Sr: 0.756 0.005 0.099
Sr: 0.358 0.905 0.204
Sr: 0.095 0.642 0.296
Sr: 0.639 0.548 0.016
Sr: 0.642 0.095 0.796
Na: 0.844 0.605 0.116
Na: 0.395 0.156 0.384
Na: 0.605 0.844 0.616
Na: 0.156 0.395 0.884
Ca: 0.883 0.117 0.250
Ca: 0.117 0.883 0.750

Values from the calculation:
E	-1.60	eV/atom

***

Entry 2:
Below is a geometry-optimized NaSr6Ca6 structure, with properties calculated at the PBE-GGA level.

Cell lengths 7.449, 7.449, 13.780 Å; angles 90.00, 90.00, 120.00 degrees
Atoms (fractional coordinates):
Ca: 0.000 0.500 0.244
Ca: 0.500 0.500 0.244
Ca: 0.500 0.000 0.756
Ca: 0.000 0.500 0.756
Ca: 0.500 0.000 0.244
Ca: 0.500 0.500 0.756
Na: 0.000 0.000 0.000
Sr: 0.333 0.667 0.000
Sr: 0.000 0.000 0.355
Sr: 0.667 0.333 0.000
Sr: 0.333 0.667 0.500
Sr: 0.667 0.333 0.500
Sr: 0.000 0.000 0.645

Values from the calculation:
E	-1.69	eV/atom

***

Entry 3:
Below is a geometry-optimized Na17SrCa structure, with properties calculated at the PBE-GGA level.

Cell lengths 9.180, 9.180, 9.180 Å; angles 78.22, 78.22, 78.22 degrees
Atoms (fractional coordinates):
Na: 0.234 0.611 0.611
Na: 0.337 0.899 0.337
Na: 0.307 0.688 0.006
Na: 0.688 0.006 0.307
Na: 0.611 0.234 0.611
Na: 0.095 0.095 0.095
Na: 0.913 0.913 0.913
Na: 0.532 0.971 0.971
Na: 0.971 0.532 0.971
Na: 0.006 0.307 0.688
Na: 0.337 0.337 0.899
Na: 0.611 0.611 0.234
Na: 0.688 0.307 0.006
Na: 0.899 0.337 0.337
Na: 0.006 0.688 0.307
Na: 0.307 0.006 0.688
Na: 0.971 0.971 0.532
Ca: 0.320 0.320 0.320
Sr: 0.668 0.668 0.668

Values from the calculation:
E	-1.33	eV/atom

***

Entry 4:
Below is a geometry-optimized Na5Sr5Ca structure, with properties calculated at the PBE-GGA level.

Cell lengths 6.807, 6.807, 12.496 Å; angles 90.00, 90.00, 120.00 degrees
Atoms (fractional coordinates):
Sr: 0.667 0.333 0.170
Sr: 0.333 0.667 0.679
Sr: 0.333 0.667 0.321
Sr: 0.000 0.000 0.000
Sr: 0.667 0.333 0.830
Na: 0.000 0.000 0.279
Na: 0.828 0.172 0.500
Na: 0.345 0.172 0.500
Na: 0.828 0.655 0.500
Na: 0.000 0.000 0.721
Ca: 0.333 0.667 0.000

Values from the calculation:
E	-1.50	eV/atom

***

Entry 5:
Below is a geometry-optimized Na3SrCa3 structure, with properties calculated at the PBE-GGA level.

Cell lengths 6.294, 10.353, 10.353 Å; angles 120.00, 90.00, 90.00 degrees
Atoms (fractional coordinates):
Ca: 0.750 0.797 0.776
Ca: 0.250 0.776 0.979
Ca: 0.250 0.021 0.797
Ca: 0.750 0.224 0.021
Ca: 0.750 0.979 0.203
Ca: 0.250 0.203 0.224
Sr: 0.250 0.333 0.667
Sr: 0.750 0.667 0.333
Na: 0.750 0.530 0.913
Na: 0.250 0.470 0.087
Na: 0.750 0.087 0.617
Na: 0.250 0.617 0.530
Na: 0.250 0.913 0.383
Na: 0.750 0.383 0.470

Values from the calculation:
E	-1.61	eV/atom

***

Entry 6:
Below is a geometry-optimized NaSr3Ca structure, with properties calculated at the PBE-GGA level.

Cell lengths 6.500, 6.500, 6.500 Å; angles 90.00, 90.00, 90.00 degrees
Atoms (fractional coordinates):
Ca: 0.500 0.500 0.500
Na: 0.000 0.000 0.000
Sr: 0.000 0.500 0.000
Sr: 0.000 0.000 0.500
Sr: 0.500 0.000 0.000

Values from the calculation:
E	-1.37	eV/atom

***

Entry 7:
Below is a geometry-optimized NaSr5Ca6 structure, with properties calculated at the PBE-GGA level.

Cell lengths 5.596, 11.641, 10.781 Å; angles 122.67, 105.10, 89.97 degrees
Atoms (fractional coordinates):
Ca: 0.167 0.416 0.334
Ca: 0.833 0.082 0.666
Ca: 0.500 0.752 0.000
Ca: 0.500 0.248 0.000
Ca: 0.167 0.918 0.334
Ca: 0.833 0.584 0.666
Sr: 0.334 0.334 0.668
Sr: 0.666 0.666 0.332
Sr: 0.000 0.500 0.000
Sr: 0.339 0.838 0.677
Sr: 0.661 0.162 0.323
Na: 0.000 0.000 0.000

Values from the calculation:
E	-1.78	eV/atom

***

Entry 8:
Below is a geometry-optimized Na3Sr4Ca structure, with properties calculated at the PBE-GGA level.

Cell lengths 4.105, 6.153, 14.980 Å; angles 90.00, 90.00, 90.00 degrees
Atoms (fractional coordinates):
Sr: 0.500 0.500 0.331
Sr: 0.500 0.000 0.669
Sr: 0.000 0.500 0.824
Sr: 0.000 0.000 0.177
Ca: 0.500 0.500 0.066
Na: 0.000 0.500 0.565
Na: 0.000 0.000 0.437
Na: 0.500 0.000 0.932

Values from the calculation:
E	-1.55	eV/atom

***

Entry 9:
Below is a geometry-optimized Na3Sr3Ca structure, with properties calculated at the PBE-GGA level.

Cell lengths 9.498, 9.498, 9.498 Å; angles 90.00, 90.00, 90.00 degrees
Atoms (fractional coordinates):
Sr: 0.000 0.500 0.750
Sr: 0.000 0.500 0.250
Sr: 0.500 0.250 0.000
Sr: 0.500 0.750 0.000
Sr: 0.250 0.000 0.500
Sr: 0.750 0.000 0.500
Na: 0.000 0.750 0.500
Na: 0.500 0.000 0.750
Na: 0.250 0.500 0.000
Na: 0.500 0.000 0.250
Na: 0.000 0.250 0.500
Na: 0.750 0.500 0.000
Ca: 0.000 0.000 0.000
Ca: 0.500 0.500 0.500

Values from the calculation:
E	-0.97	eV/atom

***

Entry 10:
Below is a geometry-optimized NaSr4Ca2 structure, with properties calculated at the PBE-GGA level.

Cell lengths 4.004, 10.045, 9.870 Å; angles 116.15, 101.70, 90.00 degrees
Atoms (fractional coordinates):
Sr: 0.640 0.406 0.281
Sr: 0.922 0.288 0.843
Sr: 0.360 0.594 0.719
Sr: 0.078 0.712 0.157
Ca: 0.220 0.140 0.441
Ca: 0.780 0.860 0.559
Na: 0.000 0.000 0.000

Values from the calculation:
E	-1.66	eV/atom

***

Entry 11:
Below is a geometry-optimized NaSr2Ca9 structure, with properties calculated at the PBE-GGA level.

Cell lengths 5.572, 5.572, 16.859 Å; angles 90.00, 90.00, 90.00 degrees
Atoms (fractional coordinates):
Na: 0.000 0.000 0.000
Ca: 0.500 0.000 0.840
Ca: 0.500 0.500 0.000
Ca: 0.500 0.000 0.160
Ca: 0.000 0.500 0.840
Ca: 0.000 0.500 0.500
Ca: 0.000 0.500 0.160
Ca: 0.500 0.500 0.328
Ca: 0.500 0.500 0.672
Ca: 0.500 0.000 0.500
Sr: 0.000 0.000 0.331
Sr: 0.000 0.000 0.669

Values from the calculation:
E	-1.86	eV/atom

***

Entry 12:
Below is a geometry-optimized NaSr4Ca5 structure, with properties calculated at the PBE-GGA level.

Cell lengths 3.963, 12.706, 13.422 Å; angles 134.84, 98.49, 90.00 degrees
Atoms (fractional coordinates):
Sr: 0.910 0.622 0.820
Sr: 0.608 0.922 0.216
Sr: 0.392 0.078 0.784
Sr: 0.090 0.378 0.180
Ca: 0.810 0.203 0.620
Ca: 0.781 0.681 0.562
Ca: 0.190 0.797 0.380
Ca: 0.500 0.500 0.000
Ca: 0.219 0.319 0.438
Na: 0.500 0.000 0.000

Values from the calculation:
E	-1.75	eV/atom

***

What is the E in the first record?
-1.60 eV/atom